4
Lattice="3.495 0.000 0.000 0.000 3.495 0.000 0.000 0.000 7.197" Properties=species:S:1:pos:R:3 comment="Tb2RhSe (PBE-GGA, relaxed)" relative_energy_mev_per_atom=152 e_form_raw_ev_per_atom=-1.14 m_tot_mub_per_fu=0.0 energy_ry_per_atom=-0.453 space_group="No. 123" crystal_system=tetragonal pbc="T T T"
Tb 0.000 0.000 1.689
Tb 0.000 0.000 5.507
Rh 1.747 1.747 0.000
Se 1.747 1.747 3.598